A geometry-optimized LiWOF2 structure, computed with GGA+U.

Calculated values
Density ... 5.368 g cm⁻³
DOS at the Fermi energy ... 0.5 states/eV/cell
Uncorrected energy ... -5.477 eV per atom

Cell lengths 4.239, 4.239, 4.214 Å; angles 90.00, 90.00, 90.00 degrees
Space group P4/mmm (No. 123)
Unique sites:
1 Li 0.000 0.000 0.000 x1
2 W 0.500 0.500 0.500 x1
3 O 0.500 0.500 0.000 x1
4 F 0.000 0.500 0.500 x2

***

A geometry-optimized LiWOF2 structure, computed with GGA+U.

Calculated values
Density ... 8.099 g cm⁻³
DOS at the Fermi energy ... 0.0 states/eV/cell
Uncorrected energy ... -5.206 eV per atom

Cell lengths 3.430, 3.430, 4.265 Å; angles 90.00, 90.00, 90.00 degrees
Space group P4/mmm (No. 123)
Unique sites:
1 Li 0.000 0.000 0.000 x1
2 W 0.500 0.500 0.500 x1
3 O 0.000 0.000 0.500 x1
4 F 0.000 0.500 0.000 x2

***

A geometry-optimized Li2WO2F4 structure, computed with GGA+U.

Calculated values
Density ... 4.821 g cm⁻³
DOS at the Fermi energy ... 0.0 states/eV/cell
Uncorrected energy ... -5.747 eV per atom

Cell lengths 4.739, 17.559, 5.062 Å; angles 90.00, 90.00, 90.00 degrees
Space group Pbcn (No. 60)
Unique sites:
1 Li 0.000 0.045 0.250 x4
2 Li 0.000 0.267 0.750 x4
3 W 0.000 0.392 0.250 x4
4 O 0.246 0.455 0.098 x8
5 F 0.209 0.298 0.089 x8
6 F 0.232 0.373 0.563 x8

***

A geometry-optimized LiWO2F structure, computed with GGA+U.

Calculated values
Density ... 8.966 g cm⁻³
DOS at the Fermi energy ... 0.1 states/eV/cell
Uncorrected energy ... -5.327 eV per atom

Cell lengths 3.716, 3.716, 3.243 Å; angles 90.00, 90.00, 90.00 degrees
Space group P4/mmm (No. 123)
Unique sites:
1 Li 0.000 0.000 0.000 x1
2 W 0.500 0.500 0.500 x1
3 O 0.000 0.500 0.000 x2
4 F 0.000 0.000 0.500 x1

***

A geometry-optimized LiWO2F structure, computed with GGA+U.

Calculated values
Density ... 5.850 g cm⁻³
Uncorrected energy ... -6.126 eV per atom

Cell lengths 4.040, 4.040, 4.205 Å; angles 90.00, 90.00, 90.00 degrees
Space group P4/mmm (No. 123)
Unique sites:
1 Li 0.000 0.000 0.000 x1
2 W 0.500 0.500 0.500 x1
3 O 0.000 0.500 0.500 x2
4 F 0.500 0.500 0.000 x1